! Ba3GaSi PBE optimized geometry; values from VASP
&SYSTEM
  ibrav = 0, nat = 10, ntyp = 3
/
ATOMIC_SPECIES
Si 28.09 Si.upf
Ba 137.33 Ba.upf
Ga 69.72 Ga.upf
CELL_PARAMETERS angstrom
-2.299 -3.487 -1.479
8.087 -3.736 2.877
-4.155 -1.021 8.873
ATOMIC_POSITIONS angstrom
Si 0.386 -3.456 1.134
Ba 3.749 -3.030 1.537
Ga 0.810 -3.428 7.050
Si 4.796 -4.926 4.382
Ba 1.433 -5.352 3.979
Ba 5.443 -7.086 1.831
Ba 3.529 -5.381 7.428
Ba -0.262 -1.296 3.685
Ba -2.502 -4.021 6.962
Ga 0.217 -5.974 7.339
! Crystal system: monoclinic
! Energy relative to the elements, uncorrected (eV/atom): -0.221
! Magnetization (μB/f.u.): 0.10
! Calculated total energy (eV per atom): -3.0644
! Space group: C2/m (12)
! Distance to the lowest polymorph of the same formula (meV per atom): 0.0

---

! BaGaSi2 PBE optimized geometry; values from VASP
&SYSTEM
  ibrav = 0, nat = 4, ntyp = 3
/
ATOMIC_SPECIES
Ga 69.72 Ga.upf
Si 28.09 Si.upf
Ba 137.33 Ba.upf
CELL_PARAMETERS angstrom
-1.608 0.942 4.464
4.296 -1.553 1.875
0.528 4.839 -0.831
ATOMIC_POSITIONS angstrom
Ga 1.969 1.502 3.013
Si -0.066 2.745 2.018
Si 1.792 4.011 2.420
Ba 0.583 4.744 -0.791
! Crystal system: orthorhombic
! Energy relative to the elements, uncorrected (eV/atom): -0.088
! Magnetization (μB/f.u.): 0.00
! Calculated total energy (eV per atom): -4.0368
! Space group: Amm2 (38)

---

! Ba3Ga2Si4 PBE optimized geometry; values from VASP
&SYSTEM
  ibrav = 0, nat = 9, ntyp = 3
/
ATOMIC_SPECIES
Si 28.09 Si.upf
Ba 137.33 Ba.upf
Ga 69.72 Ga.upf
CELL_PARAMETERS angstrom
4.240 0.000 0.000
-2.120 6.248 -0.775
0.000 1.041 8.862
ATOMIC_POSITIONS angstrom
Si 0.000 1.134 3.405
Ba 2.120 2.770 5.677
Si 0.000 4.519 7.996
Ga 2.120 1.671 2.295
Ga 0.000 5.618 5.792
Ba 0.000 4.519 2.410
Si 2.120 6.156 4.682
Ba 0.000 0.000 0.000
Si 2.120 2.770 0.091
! Crystal system: monoclinic
! Energy relative to the elements, uncorrected (eV/atom): -0.418
! Magnetization (μB/f.u.): 0.00
! Calculated total energy (eV per atom): -4.1418
! Space group: C2/m (12)
! Distance to the lowest polymorph of the same formula (meV per atom): 0.0